# 1
KSn2Pb2Au2: relaxed, GGA-PBE.

a = 4.9363 Å, b = 4.9363 Å, c = 10.3328 Å
α = 76.18°, β = 76.18°, γ = 60.00°
Atoms (fractional coordinates):
Sn  0.2516  0.2516  0.2451
Sn  0.7484  0.7484  0.7549
Pb  0.8645  0.8645  0.4065
Pb  0.1355  0.1355  0.5935
K  0.0000  0.0000  0.0000
Au  0.5830  0.5830  0.2509
Au  0.4170  0.4170  0.7491

Properties
* DOS(E_F): 1.88 states/eV/f.u.
* ΔH_f (0 K): -157 meV/atom

# 2
Zn2SiW: relaxed, GGA-PBE.

a = 2.6935 Å, b = 2.6935 Å, c = 8.4909 Å
α = 90.00°, β = 90.00°, γ = 96.93°
Atoms (fractional coordinates):
Zn  0.0000  0.0000  0.5033
Zn  0.0000  0.0000  0.9967
Si  0.5000  0.5000  0.2500
W  0.5000  0.5000  0.7500

Properties
* DOS(E_F): 3.15 states/eV/f.u.
* energy relative to the elements, uncorrected: 0.35 eV per atom

# 3
CaEuBiAu: relaxed, GGA-PBE.

a = 5.4557 Å, b = 5.4557 Å, c = 5.4557 Å
α = 60.00°, β = 60.00°, γ = 60.00°
Site moments in Bohr magnetons follow the coordinates.
Atoms (fractional coordinates):
Eu  0.7500  0.7500  0.7500  6.85
Bi  0.5000  0.5000  0.5000  -0.07
Ca  0.2500  0.2500  0.2500  0.00
Au  0.0000  0.0000  0.0000  -0.02

Properties
* ΔH_f (0 K): -845 meV/atom

# 4
Ga2BiN: relaxed, GGA-PBE.

a = 4.8197 Å, b = 4.8197 Å, c = 4.8197 Å
α = 60.00°, β = 60.00°, γ = 60.00°
Site moments in Bohr magnetons follow the coordinates.
Atoms (fractional coordinates):
Ga  0.7500  0.7500  0.7500  0.00
Ga  0.2500  0.2500  0.2500  0.00
Bi  0.5000  0.5000  0.5000  0.14
N  0.0000  0.0000  0.0000  0.99

Properties
* DOS(E_F): 2.10 states/eV/f.u.
* energy relative to the elements, uncorrected: 1.08 eV per atom
* ΔE to the lowest computed polymorph: 1.106 eV per atom

# 5
Sr8IrPd2: relaxed, GGA-PBE.

a = 7.8460 Å, b = 8.2169 Å, c = 8.1828 Å
α = 89.92°, β = 118.65°, γ = 90.00°
Atoms (fractional coordinates):
Sr  0.7109  0.3984  0.4217
Sr  0.8051  0.8864  0.6101
Sr  0.2796  0.7431  0.0769
Sr  0.7973  0.7431  0.0769
Sr  0.1949  0.1136  0.3899
Sr  0.2027  0.2569  0.9231
Sr  0.7204  0.2569  0.9231
Sr  0.2891  0.6016  0.5783
Ir  0.0000  0.0000  0.0000
Pd  0.0985  0.4526  0.1969
Pd  0.9015  0.5474  0.8031

Properties
* DOS(E_F): 6.94 states/eV/f.u.
* ΔH_f (0 K): -262 meV/atom

# 6
Li2MgAu2: relaxed, GGA-PBE.

a = 4.5551 Å, b = 5.5208 Å, c = 10.6402 Å
α = 44.07°, β = 77.64°, γ = 65.64°
Atoms (fractional coordinates):
Au  0.8539  0.3413  0.4546
Au  0.6498  0.1587  0.0454
Au  0.1461  0.6587  0.5454
Au  0.3502  0.8413  0.9546
Li  0.5611  0.0255  0.3489
Li  0.4389  0.9745  0.6511
Li  0.0644  0.5255  0.8489
Li  0.9356  0.4745  0.1511
Mg  0.7483  0.2500  0.7500
Mg  0.2517  0.7500  0.2500

Properties
* DOS(E_F): 1.72 states/eV/f.u.
* ΔE to the lowest computed polymorph: 0.000 eV per atom
* ΔH_f (0 K): -511 meV/atom